1.
# SnHN

SnHN after structural relaxation (PBE, Alexandria via LeMat-Bulk).

Results
**Uncorrected energy**: -4.78 eV/atom
**Crystal system**: tetragonal

Cell: 3.928 3.928 3.928 Å, 120.05 120.05 89.91°
Element x y z (fractional)
Sn 0.000 0.000 0.000
H 0.566 0.566 0.000
N 0.380 0.380 0.000

=====

2.
# SnHN2

SnHN2 after structural relaxation (PBE, Alexandria via LeMat-Bulk).

Results
**E above lowest polymorph**: 4.59 eV per formula unit
**Crystal system**: cubic

Cell: 3.769 3.769 3.769 Å, 60.00 60.00 60.00°
Element x y z (fractional)
Sn 0.000 0.000 0.000
H 0.500 0.500 0.500
N 0.250 0.250 0.250
N 0.750 0.750 0.750

=====

3.
# SnHN2

SnHN2 after structural relaxation (PBE, Alexandria via LeMat-Bulk).

Results
**E above lowest polymorph**: 2.66 eV per formula unit
**Crystal system**: tetragonal

Cell: 5.627 5.627 5.627 Å, 134.78 134.78 65.87°
Element x y z (fractional)
Sn 0.000 0.000 0.000
Sn 0.750 0.250 0.500
H 0.250 0.750 0.500
H 0.500 0.500 0.000
N 0.189 0.625 0.064
N 0.375 0.439 0.564
N 0.561 0.125 0.936
N 0.875 0.811 0.436

=====

no.,ρ (g/cm3)
1,5.2
2,6.5
3,5.5